The following is a PBE calculation of crystalline ZnPb2 at its relaxed geometry, from Alexandria.

Results
Total DFT energy (no corrections): -8.16 eV for the cell shown
Energy of formation from the pure elements: 4.09 kcal/mol of atoms
Symmetry: P-3m1, No. 164
Crystal system: trigonal

Cell: 4.4147 4.4147 5.0976 Å, 90.00 90.00 120.00°
With the nearest neighbours (Å) after each atom.
Atoms (fractional coordinates):
Zn  0.0000  0.0000  0.0000  6 Pb 2.88
Pb  0.3333  0.6667  0.2618  3 Zn 2.88
Pb  0.6667  0.3333  0.7382  3 Zn 2.88